Entry 1:
Compound: NdTm4Th2
Source: Alexandria via LeMat-Bulk
Functional: PBE
Structure: optimized geometry

a b c (Å): 3.4892 8.7208 8.7489
angles (deg): 119.48 90.17 101.40
Last column: nearest neighbours and their distance in Å.
Atoms (fractional coordinates):
Nd (0.0000, 0.0000, 0.0000)  2 Th 3.37, 2 Nd 3.49, 4 Tm 3.61
Tm (0.2946, 0.5862, 0.7058)  3 Th 3.35-3.61, 7 Tm 3.49-3.70, 2 Nd 3.61
Tm (0.3499, 0.7024, 0.1544)  7 Tm 3.49-3.70, 4 Th 3.59-3.71, 2 Nd 3.84-3.85
Tm (0.6501, 0.2976, 0.8456)  7 Tm 3.49-3.70, 4 Th 3.59-3.71, 2 Nd 3.84-3.85
Tm (0.7054, 0.4138, 0.2942)  3 Th 3.35-3.61, 7 Tm 3.49-3.70, 2 Nd 3.61
Th (0.0683, 0.1375, 0.4346)  1 Th 3.09, 1 Tm 3.35, 1 Nd 3.37
Th (0.9317, 0.8625, 0.5654)  1 Th 3.09, 1 Tm 3.35, 1 Nd 3.37

Its formation energy is 89 meV per atom. Its polymorph energy (0 for the lowest one) is 0.00 eV per formula unit.

---

Entry 2:
Compound: Li4Er3GeSe8
Source: Alexandria via LeMat-Bulk
Functional: PBE
Structure: optimized geometry

a b c (Å): 7.9385 7.9385 7.9385
angles (deg): 60.54 60.54 60.54
Last column: nearest neighbours and their distance in Å.
Atoms (fractional coordinates):
Li (0.0000, 0.0000, 0.0000)  6 Se 2.89
Li (0.0000, 0.5000, 0.5000)  6 Se 2.80-2.81
Li (0.5000, 0.0000, 0.5000)  6 Se 2.80-2.81
Li (0.5000, 0.5000, 0.0000)  6 Se 2.80-2.81
Er (0.0000, 0.0000, 0.5000)  6 Se 2.83-2.84
Er (0.0000, 0.5000, 0.0000)  6 Se 2.83-2.84
Er (0.5000, 0.0000, 0.0000)  6 Se 2.83-2.84
Ge (0.5000, 0.5000, 0.5000)  6 Se 2.75
Se (0.2510, 0.2510, 0.2510)  3 Li 2.81, 3 Er 2.83
Se (0.2561, 0.2561, 0.7402)  1 Ge 2.75, 3 Li 2.80-2.89, 2 Er 2.84
Se (0.2561, 0.7402, 0.2561)  1 Ge 2.75, 3 Li 2.80-2.89, 2 Er 2.84
Se (0.2598, 0.7439, 0.7439)  1 Ge 2.75, 3 Li 2.80-2.89, 2 Er 2.84
Se (0.7402, 0.2561, 0.2561)  1 Ge 2.75, 3 Li 2.80-2.89, 2 Er 2.84
Se (0.7439, 0.2598, 0.7439)  1 Ge 2.75, 3 Li 2.80-2.89, 2 Er 2.84
Se (0.7439, 0.7439, 0.2598)  1 Ge 2.75, 3 Li 2.80-2.89, 2 Er 2.84
Se (0.7490, 0.7490, 0.7490)  3 Li 2.81, 3 Er 2.83

---

Entry 3:
Compound: Ac2TlAg3
Source: Alexandria via LeMat-Bulk
Functional: PBE
Structure: optimized geometry

a b c (Å): 4.3301 4.4991 18.2230
angles (deg): 90.00 90.00 90.00
Last column: nearest neighbours and their distance in Å.
Atoms (fractional coordinates):
Ac (0.0000, 0.0000, 0.0000)  6 Ag 3.37-3.70, 4 Tl 3.56
Ac (0.0000, 0.5000, 0.2659)  10 Ag 3.39-3.76
Ac (0.5000, 0.0000, 0.7659)  10 Ag 3.39-3.76
Ac (0.5000, 0.5000, 0.5000)  6 Ag 3.37-3.70, 4 Tl 3.56
Tl (0.0000, 0.0000, 0.5944)  3 Ag 2.81-2.98
Tl (0.5000, 0.5000, 0.0944)  3 Ag 2.81-2.98
Ag (0.0000, 0.0000, 0.4311)  2 Ag 2.74, 1 Tl 2.98
Ag (0.0000, 0.5000, 0.6865)  1 Ag 2.77, 2 Tl 2.81
Ag (0.0000, 0.5000, 0.8386)  3 Ag 2.74-2.77
Ag (0.5000, 0.0000, 0.1865)  1 Ag 2.77, 2 Tl 2.81
Ag (0.5000, 0.0000, 0.3386)  3 Ag 2.74-2.77
Ag (0.5000, 0.5000, 0.9311)  2 Ag 2.74, 1 Tl 2.98

Its formation energy is -246 meV per atom. Its polymorph energy (0 for the lowest one) is 0.27 eV per formula unit.

---

Entry 4:
Compound: HfP3Pt
Source: Alexandria via LeMat-Bulk
Functional: PBE
Structure: optimized geometry

a b c (Å): 4.8868 4.8868 4.8868
angles (deg): 90.00 90.00 90.00
Last column: nearest neighbours and their distance in Å.
Atoms (fractional coordinates):
Hf (0.0000, 0.0000, 0.0000)  6 P 2.44
P (0.0000, 0.0000, 0.5000)  2 Hf 2.44
P (0.0000, 0.5000, 0.0000)  2 Hf 2.44
P (0.5000, 0.0000, 0.0000)  2 Hf 2.44
Pt (0.5000, 0.5000, 0.5000)  12 P 3.46

Its formation energy is 823 meV per atom. Its polymorph energy (0 for the lowest one) is 1.35 eV per formula unit.

---

Entry 5:
Compound: MgCu2Ru
Source: Alexandria via LeMat-Bulk
Functional: PBE
Structure: optimized geometry

a b c (Å): 2.7391 2.7391 25.9003
angles (deg): 90.00 90.00 120.00
Last column: nearest neighbours and their distance in Å.
Atoms (fractional coordinates):
Mg (0.0000, 0.0000, 0.0000)  3 Cu 2.73, 6 Mg 2.74, 3 Ru 2.78
Mg (0.3333, 0.6667, 0.6667)  3 Cu 2.73, 6 Mg 2.74, 3 Ru 2.78
Mg (0.6667, 0.3333, 0.3333)  3 Cu 2.73, 6 Mg 2.74, 3 Ru 2.78
Cu (0.0000, 0.0000, 0.4965)  9 Cu 2.55-2.74, 3 Ru 2.65
Cu (0.0000, 0.0000, 0.7525)  9 Cu 2.55-2.74, 3 Mg 2.73
Cu (0.3333, 0.6667, 0.1631)  9 Cu 2.55-2.74, 3 Ru 2.65
Cu (0.3333, 0.6667, 0.4192)  9 Cu 2.55-2.74, 3 Mg 2.73
Cu (0.6667, 0.3333, 0.0858)  9 Cu 2.55-2.74, 3 Mg 2.73
Cu (0.6667, 0.3333, 0.8298)  9 Cu 2.55-2.74, 3 Ru 2.65
Ru (0.0000, 0.0000, 0.2452)  3 Cu 2.65, 6 Ru 2.74, 3 Mg 2.78
Ru (0.3333, 0.6667, 0.9119)  3 Cu 2.65, 6 Ru 2.74, 3 Mg 2.78
Ru (0.6667, 0.3333, 0.5785)  3 Cu 2.65, 6 Ru 2.74, 3 Mg 2.78

Its formation energy is 170 meV per atom.

---

Entry 6:
Compound: K3Er3UTe8
Source: Alexandria via LeMat-Bulk
Functional: PBE
Structure: optimized geometry

a b c (Å): 9.8104 9.8104 9.8104
angles (deg): 53.66 53.66 53.66
Last column: nearest neighbours and their distance in Å.
Atoms (fractional coordinates):
K (0.0000, 0.5000, 0.5000)  6 Te 3.55-3.56
K (0.5000, 0.0000, 0.5000)  6 Te 3.55-3.56
K (0.5000, 0.5000, 0.0000)  6 Te 3.55-3.56
Er (0.0000, 0.0000, 0.5000)  6 Te 3.07-3.09
Er (0.0000, 0.5000, 0.0000)  6 Te 3.07-3.09
Er (0.5000, 0.0000, 0.0000)  6 Te 3.07-3.09
U (0.5000, 0.5000, 0.5000)  6 Te 3.09
Te (0.2330, 0.7362, 0.7362)  2 Er 3.07, 1 U 3.09
Te (0.2354, 0.2354, 0.2354)  3 Er 3.09
Te (0.2638, 0.2638, 0.7670)  2 Er 3.07, 1 U 3.09
Te (0.2638, 0.7670, 0.2638)  2 Er 3.07, 1 U 3.09
Te (0.7362, 0.2330, 0.7362)  2 Er 3.07, 1 U 3.09
Te (0.7362, 0.7362, 0.2330)  2 Er 3.07, 1 U 3.09
Te (0.7646, 0.7646, 0.7646)  3 Er 3.09
Te (0.7670, 0.2638, 0.2638)  2 Er 3.07, 1 U 3.09

---

Number 1: electronic total energy -5.27 eV per atom, mass density 9.45 g cm⁻³, calculated volume 225.6 Å³/cell. Number 2: electronic total energy -4.76 eV per atom, mass density 5.72 g cm⁻³, calculated volume 358.0 Å³/cell. Number 3: electronic total energy -3.44 eV per atom, mass density 9.19 g cm⁻³, calculated volume 355.0 Å³/cell. Number 4: electronic total energy -5.62 eV per atom, mass density 6.64 g cm⁻³, calculated volume 116.7 Å³/cell. Number 5: electronic total energy -4.60 eV per atom, mass density 7.47 g cm⁻³, calculated volume 168.3 Å³/cell. Number 6: electronic total energy -4.78 eV per atom, mass density 5.48 g cm⁻³, calculated volume 568.7 Å³/cell.